[1]
Here is a relaxed La5PrSm2Dy crystal from the Alexandria database. Energies are from PBE.

POSCAR file:
```
La5PrSm2Dy
1.0
9.302 0.000 0.000
0.000 9.302 0.000
-4.651 -4.651 7.493
La Dy Pr Sm
10 2 2 4
direct
0.343 0.843 0.276
0.932 0.432 0.276
0.500 0.500 0.000
0.568 0.657 0.724
0.000 0.000 0.000
0.068 0.568 0.724
0.657 0.157 0.724
0.432 0.343 0.276
0.157 0.068 0.724
0.843 0.932 0.276
0.250 0.750 0.500
0.750 0.250 0.500
0.250 0.250 0.500
0.750 0.750 0.500
0.612 0.112 0.000
0.388 0.888 0.000
0.112 0.388 0.000
0.888 0.612 0.000
```

The calculation puts the energy at -82.120 eV for the cell shown. As for the space group: I4/mcm.

***

[2]
Here is a relaxed TiBiOs2F crystal from the Alexandria database. Energies are from PBE.

POSCAR file:
```
TiBiOs2F
1.0
4.588 0.000 0.000
0.000 3.960 0.000
0.000 0.000 4.588
F Os Ti Bi
1 2 1 1
direct
0.000 0.000 0.000
0.000 0.000 0.500
0.500 0.000 0.000
0.000 0.500 0.000
0.500 0.500 0.500
```

The value obtained for the energy relative to the elements, uncorrected is 0.736 eV per atom. As for the space group: P4/mmm.

***

[3]
Here is a relaxed TiSi2PS crystal from the Alexandria database. Energies are from PBE.

POSCAR file:
```
TiSi2PS
1.0
4.473 0.000 0.000
0.000 4.703 0.000
0.000 0.000 4.473
Si P S Ti
2 1 1 1
direct
0.000 0.000 0.500
0.500 0.000 0.000
0.000 0.000 0.000
0.500 0.500 0.500
0.000 0.500 0.000
```

The value obtained for the energy relative to the elements, uncorrected is 0.566 eV per atom. As for the space group: P4/mmm.

***

[4]
Here is a relaxed Pr12Tm2Sc crystal from the Alexandria database. Energies are from PBE.

POSCAR file:
```
Pr12Tm2Sc
1.0
-6.311 -1.575 -1.196
-0.299 -3.194 5.783
-7.506 21.393 11.430
Sc Tm Pr
2 4 24
direct
0.000 0.500 0.000
0.500 0.000 0.000
0.000 0.500 0.732
0.500 0.000 0.268
0.000 0.500 0.268
0.500 0.000 0.732
0.000 0.000 0.334
0.831 0.331 0.564
0.500 0.500 0.210
0.169 0.331 0.436
0.315 0.815 0.107
0.331 0.169 0.564
0.815 0.685 0.107
0.685 0.185 0.107
0.185 0.315 0.107
0.331 0.831 0.436
0.815 0.315 0.893
0.669 0.831 0.564
0.669 0.169 0.436
0.315 0.185 0.893
0.185 0.685 0.893
0.500 0.500 0.334
0.500 0.500 0.666
0.831 0.669 0.436
0.685 0.815 0.893
0.000 0.000 0.666
0.500 0.500 0.790
0.000 0.000 0.210
0.169 0.669 0.564
0.000 0.000 0.790
```

The calculation puts the energy at -134.949 eV for the cell shown. As for the space group: P4/nbm.